Here is crystalline VAgAsO5 at its relaxed geometry from the Alexandria database. Energies are from PBE+U.

Total energy (eV per cell): -200.2

a b c (Å): 6.839 9.034 7.167
angles (deg): 90.00 114.14 90.00
Space group C2/c (No. 15)
Asymmetric unit:
1 V 0.000 0.000 0.000 [4 per cell]
2 Ag 0.000 0.328 0.250 [4 per cell]
3 As 0.000 0.314 0.750 [4 per cell]
4 O 0.000 0.054 0.250 [4 per cell]
5 O 0.107 0.205 0.615 [8 per cell]
6 O 0.191 0.431 0.916 [8 per cell]